# 1
VASP calculation (PBE-GGA) on K3ErTm2Te6 after structural relaxation.

Calculated values
total DFT energy (no corrections) = -4.346 eV per atom
E_form (uncorrected) = -1.3751 eV/atom
V = 425.10 Å³ per cell

Structure (CIF):
```
data_K3ErTm2Te6
_chemical_formula_sum 'K3 Er1 Tm2 Te6'
_symmetry_space_group_name_H-M 'P 1'
_symmetry_Int_Tables_number 1
_symmetry_space_group_name_Hall 'P 1'
_cell_length_a 7.719
_cell_length_b 7.719
_cell_length_c 8.630
_cell_angle_alpha 98.58
_cell_angle_beta 98.58
_cell_angle_gamma 120.00
loop_
_atom_site_label
_atom_site_fract_x
_atom_site_fract_y
_atom_site_fract_z
K1 0.000 0.000 0.000
K2 0.334 0.666 0.000
K3 0.666 0.334 0.000
Er1 0.500 0.500 0.500
Tm1 0.167 0.833 0.500
Tm2 0.833 0.167 0.500
Te1 0.097 0.431 0.294
Te2 0.234 0.234 0.706
Te3 0.431 0.097 0.294
Te4 0.569 0.903 0.706
Te5 0.766 0.766 0.294
Te6 0.903 0.569 0.706
```

# 2
VASP calculation (PBE-GGA) on Pr2ScIn9 after structural relaxation.

Calculated values
total DFT energy (no corrections) = -3.792 eV per atom
formation energy = -414 meV per atom
V = 305.69 Å³ per cell

Structure (CIF):
```
data_Pr2ScIn9
_chemical_formula_sum 'Pr2 Sc1 In9'
_symmetry_space_group_name_H-M 'P 1'
_symmetry_Int_Tables_number 1
_symmetry_space_group_name_Hall 'P 1'
_cell_length_a 4.679
_cell_length_b 4.679
_cell_length_c 13.963
_cell_angle_alpha 90.00
_cell_angle_beta 90.00
_cell_angle_gamma 90.00
loop_
_atom_site_label
_atom_site_fract_x
_atom_site_fract_y
_atom_site_fract_z
Pr1 0.000 0.000 0.172
Pr2 0.000 0.000 0.828
Sc1 0.000 0.000 0.500
In1 0.000 0.500 0.000
In2 0.000 0.500 0.343
In3 0.000 0.500 0.657
In4 0.500 0.000 0.000
In5 0.500 0.000 0.343
In6 0.500 0.000 0.657
In7 0.500 0.500 0.169
In8 0.500 0.500 0.500
In9 0.500 0.500 0.831
```